Entry 1:
Computed, not measured: HgOs after structural relaxation at the PBE level of DFT.

Cell lengths 4.3088, 5.6155, 6.4624 Å; angles 90.00, 90.00, 90.00 degrees
Atoms (fractional coordinates):
Hg (0.2500, 0.1054, 0.1370)
Hg (0.7500, 0.6054, 0.3630)
Hg (0.2500, 0.3946, 0.6370)
Hg (0.7500, 0.8946, 0.8630)
Os (0.2500, 0.5940, 0.0329)
Os (0.7500, 0.0940, 0.4671)
Os (0.2500, 0.9060, 0.5329)
Os (0.7500, 0.4060, 0.9671)

Summary:
The formation energy is 1.01 eV/atom. Its crystal system is orthorhombic. The uncorrected energy comes out at -0.3493 Ry per atom. The energy above the lowest structure with this stoichiometry is 118 kJ/mol of formula units. The calculation puts the size of the total moment at 0.00 μB per cell. As for the space group: Pnma (62).

Entry 2:
Computed, not measured: Hg2Os after structural relaxation at the PBE level of DFT.

Cell lengths 5.5228, 5.5228, 5.5228 Å; angles 60.00, 60.00, 60.00 degrees
Site moments in Bohr magnetons follow the coordinates.
Atoms (fractional coordinates):
Hg (0.6250, 0.6250, 0.6250)  -0.02
Hg (0.1250, 0.6250, 0.6250)  -0.02
Hg (0.6250, 0.1250, 0.6250)  -0.02
Hg (0.6250, 0.6250, 0.1250)  -0.02
Os (0.0000, 0.0000, 0.0000)  1.56
Os (0.2500, 0.2500, 0.2500)  1.56

Summary:
The formation energy is 1.50 eV/atom. Its crystal system is cubic. The uncorrected energy comes out at -0.1794 Ry per atom. The calculation puts the size of the total moment at 3.12 μB per cell. As for the space group: Fd-3m (227).

Entry 3:
Computed, not measured: Hg5Os4 after structural relaxation at the PBE level of DFT.

Cell lengths 6.6770, 6.6770, 6.6770 Å; angles 95.25, 95.25, 144.80 degrees
Atoms (fractional coordinates):
Hg (0.0000, 0.0000, 0.0000)
Hg (0.3295, 0.6705, 0.0000)
Hg (0.3295, 0.3295, 0.6591)
Hg (0.6705, 0.6705, 0.3409)
Hg (0.6705, 0.3295, 0.0000)
Os (0.0000, 0.6409, 0.6409)
Os (0.0000, 0.3591, 0.3591)
Os (0.3591, 0.0000, 0.3591)
Os (0.6409, 0.0000, 0.6409)

Summary:
The formation energy is 0.79 eV/atom. Its crystal system is tetragonal. The uncorrected energy comes out at -0.3214 Ry per atom. The energy above the lowest structure with this stoichiometry is 0 kJ/mol of formula units. The calculation puts the size of the total moment at 0.00 μB per cell. As for the space group: I4/mmm (139).

Entry 4:
Computed, not measured: HgOs after structural relaxation at the PBE level of DFT.

Cell lengths 7.9890, 7.9890, 4.6841 Å; angles 90.00, 90.00, 159.24 degrees
Atoms (fractional coordinates):
Hg (0.9954, 0.0046, 0.0000)
Hg (0.3302, 0.6698, 0.0000)
Hg (0.7739, 0.2261, 0.5000)
Os (0.6562, 0.3438, 0.0000)
Os (0.4694, 0.5306, 0.5000)
Os (0.1082, 0.8918, 0.5000)

Summary:
The formation energy is 0.91 eV/atom. Its crystal system is orthorhombic. The uncorrected energy comes out at -0.3569 Ry per atom. The energy above the lowest structure with this stoichiometry is 98 kJ/mol of formula units. The calculation puts the size of the total moment at 0.01 μB per cell. As for the space group: Amm2 (38).

Entry 5:
Computed, not measured: HgOs after structural relaxation at the PBE level of DFT.

Cell lengths 2.8795, 2.8795, 14.8073 Å; angles 90.00, 90.00, 120.00 degrees
Atoms (fractional coordinates):
Hg (0.0000, 0.0000, 0.9922)
Hg (0.0000, 0.0000, 0.3216)
Hg (0.6667, 0.3333, 0.5183)
Os (0.0000, 0.0000, 0.6885)
Os (0.6667, 0.3333, 0.1557)
Os (0.6667, 0.3333, 0.8236)

Summary:
The formation energy is 0.70 eV/atom. Its crystal system is trigonal. The uncorrected energy comes out at -0.3723 Ry per atom. The energy above the lowest structure with this stoichiometry is 58 kJ/mol of formula units. The calculation puts the size of the total moment at 0.00 μB per cell. As for the space group: P3m1 (156).

Entry 6:
Computed, not measured: HgOs after structural relaxation at the PBE level of DFT.

Cell lengths 2.8633, 2.8633, 4.2937 Å; angles 90.00, 90.00, 90.00 degrees
Site moments in Bohr magnetons follow the coordinates.
Atoms (fractional coordinates):
Hg (0.0000, 0.0000, 0.0000)  0.02
Os (0.5000, 0.5000, 0.5000)  1.18

Summary:
The formation energy is 1.22 eV/atom. Its crystal system is tetragonal. The uncorrected energy comes out at -0.3343 Ry per atom. The energy above the lowest structure with this stoichiometry is 158 kJ/mol of formula units. The calculation puts the size of the total moment at 1.27 μB per cell. As for the space group: P4/mmm (123).

Entry 7:
Computed, not measured: HgOs after structural relaxation at the PBE level of DFT.

Cell lengths 2.7731, 4.1053, 8.6413 Å; angles 108.26, 90.00, 109.74 degrees
Atoms (fractional coordinates):
Hg (0.2332, 0.4665, 0.7326)
Hg (0.0168, 0.0335, 0.0174)
Os (0.5182, 0.0363, 0.4428)
Os (0.7318, 0.4637, 0.3072)

Summary:
The formation energy is 0.67 eV/atom. Its crystal system is monoclinic. The uncorrected energy comes out at -0.3745 Ry per atom. The energy above the lowest structure with this stoichiometry is 52 kJ/mol of formula units. The calculation puts the size of the total moment at 0.00 μB per cell. As for the space group: C2/m (12).

Entry 8:
Computed, not measured: Hg5Os after structural relaxation at the PBE level of DFT.

Cell lengths 5.5598, 5.5598, 5.5598 Å; angles 64.57, 64.57, 64.57 degrees
Atoms (fractional coordinates):
Hg (0.0760, 0.9240, 0.5000)
Hg (0.5000, 0.0760, 0.9240)
Hg (0.9240, 0.5000, 0.0760)
Hg (0.3647, 0.3647, 0.3647)
Hg (0.6353, 0.6353, 0.6353)
Os (0.0000, 0.0000, 0.0000)

Summary:
The formation energy is 0.56 eV/atom. Its crystal system is trigonal. The uncorrected energy comes out at -0.1150 Ry per atom. The energy above the lowest structure with this stoichiometry is 97 kJ/mol of formula units. The calculation puts the size of the total moment at 0.00 μB per cell. As for the space group: R32 (155).

size of the total moment of number 3 (Hg5Os4)?
0.00 μB per cell

What is the size of the total moment in the eighth record?
0.00 μB per cell

Number 7 is which compound?
HgOs

What is the size of the total moment in the fourth record?
0.01 μB per cell